DFT (meta-GGA SCAN) results for Mn2CoSb at its PBEsol-relaxed geometry.

Calculated values
Formation energy without anion corrections, eV per atom: -0.057

```
data_Mn2CoSb
_chemical_formula_sum 'Mn8 Co4 Sb4'
_cell_length_a 5.899
_cell_length_b 5.899
_cell_length_c 5.899
_cell_angle_alpha 90.00
_cell_angle_beta 90.00
_cell_angle_gamma 90.00
_symmetry_space_group_name_H-M 'F -4 3 m'
_symmetry_Int_Tables_number 216
_symmetry_space_group_name_Hall 'F -4 2 3'
loop_
_atom_site_label
_atom_site_fract_x
_atom_site_fract_y
_atom_site_fract_z
_atom_site_occupancy
Mn1 0.000 0.000 0.000 1
Mn2 0.250 0.250 0.250 1
Co1 0.250 0.250 0.750 1
Sb1 0.000 0.000 0.500 1
```

***

DFT (meta-GGA SCAN) results for BeSiTc4 at its PBEsol-relaxed geometry.

Calculated values
Formation energy without anion corrections, eV per atom: 0.551

```
data_BeSiTc4
_chemical_formula_sum 'Be4 Si4 Tc16'
_cell_length_a 7.025
_cell_length_b 7.025
_cell_length_c 7.025
_cell_angle_alpha 90.00
_cell_angle_beta 90.00
_cell_angle_gamma 90.00
_symmetry_space_group_name_H-M 'F -4 3 m'
_symmetry_Int_Tables_number 216
_symmetry_space_group_name_Hall 'F -4 2 3'
loop_
_atom_site_label
_atom_site_fract_x
_atom_site_fract_y
_atom_site_fract_z
_atom_site_occupancy
Be1 0.000 0.000 0.000 1
Si1 0.250 0.250 0.750 1
Tc1 0.125 0.125 0.375 1
```

***

DFT (meta-GGA SCAN) results for Na2Ca6Mg7FeSi16O48 at its PBEsol-relaxed geometry.

Calculated values
Formation energy without anion corrections, eV per atom: -3.086

```
data_Na2Ca6Mg7FeSi16O48
_chemical_formula_sum 'Na4 Ca12 Mg14 Fe2 Si32 O96'
_cell_length_a 19.346
_cell_length_b 17.723
_cell_length_c 5.267
_cell_angle_alpha 90.00
_cell_angle_beta 105.21
_cell_angle_gamma 90.00
_symmetry_space_group_name_H-M 'C 1 2 1'
_symmetry_Int_Tables_number 5
_symmetry_space_group_name_Hall 'C 2y'
loop_
_atom_site_label
_atom_site_fract_x
_atom_site_fract_y
_atom_site_fract_z
_atom_site_occupancy
Na1 0.000 0.000 0.000 1
Na2 0.000 0.302 0.500 1
Ca1 0.000 0.500 0.000 1
Ca2 0.000 0.803 0.500 1
Ca3 0.246 0.552 0.987 1
Ca4 0.249 0.253 0.499 1
Mg1 0.000 0.200 0.000 1
Mg2 0.000 0.606 0.500 1
Mg3 0.000 0.698 0.000 1
Mg4 0.249 0.357 0.998 1
Mg5 0.250 0.447 0.497 1
Fe1 0.000 0.104 0.500 1
Si1 0.104 0.951 0.692 1
Si2 0.105 0.447 0.691 1
Si3 0.106 0.354 0.193 1
Si4 0.106 0.858 0.194 1
Si5 0.142 0.102 0.313 1
Si6 0.142 0.195 0.803 1
Si7 0.144 0.606 0.307 1
Si8 0.144 0.701 0.806 1
O1 0.054 0.108 0.246 1
O2 0.054 0.184 0.709 1
O3 0.057 0.697 0.721 1
O4 0.058 0.609 0.222 1
O5 0.064 0.033 0.693 1
O6 0.068 0.778 0.206 1
O7 0.070 0.528 0.708 1
O8 0.073 0.272 0.198 1
O9 0.073 0.911 0.401 1
O10 0.074 0.394 0.900 1
O11 0.074 0.410 0.393 1
O12 0.074 0.897 0.898 1
O13 0.172 0.158 0.103 1
O14 0.176 0.663 0.105 1
O15 0.177 0.023 0.284 1
O16 0.177 0.140 0.609 1
O17 0.177 0.645 0.606 1
O18 0.178 0.276 0.791 1
O19 0.182 0.780 0.790 1
O20 0.183 0.528 0.293 1
O21 0.191 0.952 0.779 1
O22 0.192 0.445 0.775 1
O23 0.192 0.858 0.278 1
O24 0.193 0.359 0.277 1
```